Compound: Mg2ZnCoAu
Source: Alexandria via LeMat-Bulk
Functional: meta-GGA SCAN
Structure: single point on PBEsol structure

Calculated values
calculated total energy	-107.6	eV per cell
ΔE_f	0.457	eV/atom
spin magnetization	0.314	μB/atom

Cell: 4.281 4.742 4.742 Å, 90.00 90.00 90.00°
Each line ends with the local moment (μB).
Sites, in units of the cell vectors:
Mg1 0.000 0.000 0.500  0.00
Mg2 0.000 0.500 0.000  0.00
Au1 0.500 0.500 0.500  0.02
Co1 0.500 0.000 0.000  1.61
Zn1 0.000 0.000 0.000  -0.04